The following is a PBE calculation of crystalline Hf2PPdPt at its relaxed geometry, from Alexandria.

Properties
Symmetry: No. 123
D(E_F) in states/eV per atom: 1.062
Calculated volume in A^3/atom: 22.7
Formation energy in eV/atom: 0.35

Lattice parameters (Å, degrees): 5.1194 5.1194 4.3310 90.00 90.00 90.00
Atoms (fractional coordinates):
P (0.0000, 0.0000, 0.5000)
Pd (0.5000, 0.5000, 0.5000)
Pt (0.0000, 0.0000, 0.0000)
Hf (0.5000, 0.0000, 0.0000)
Hf (0.0000, 0.5000, 0.0000)

=====

The following is a PBE calculation of crystalline NaTaIrO6 at its relaxed geometry, from Alexandria.

Properties
E_form (uncorrected) in eV/atom: -1.610
Symmetry: No. 163
D(E_F) in states/eV per atom: 0.348
Calculated volume in A^3/atom: 13.9

Lattice parameters (Å, degrees): 5.2752 5.2752 10.3955 90.00 90.00 120.00
Site moments in Bohr magnetons follow the coordinates.
Atoms (fractional coordinates):
O (0.6230, 0.6299, 0.1460)  0.18
O (0.6300, 0.6230, 0.6460)  0.18
O (0.6230, 0.9930, 0.3540)  0.18
O (0.0070, 0.3770, 0.1460)  0.18
O (0.3770, 0.3701, 0.8540)  0.18
O (0.6300, 0.0070, 0.8540)  0.18
O (0.9930, 0.3701, 0.6460)  0.18
O (0.9930, 0.6230, 0.8540)  0.18
O (0.3700, 0.9930, 0.1460)  0.18
O (0.3770, 0.0070, 0.6460)  0.18
O (0.0070, 0.6299, 0.3540)  0.18
O (0.3700, 0.3770, 0.3540)  0.18
Na (0.0000, 0.0000, 0.5000)  0.00
Na (0.0000, 0.0000, 0.0000)  0.00
Ta (0.6667, 0.3333, 0.2500)  0.04
Ta (0.3333, 0.6667, 0.7500)  0.04
Ir (0.6667, 0.3333, 0.7500)  1.48
Ir (0.3333, 0.6667, 0.2500)  1.48

=====

The following is a PBE calculation of crystalline Th4In5Pd2 at its relaxed geometry, from Alexandria.

Properties
Symmetry: No. 10
D(E_F) in states/eV per atom: 0.737
Calculated volume in A^3/atom: 26.4
Formation energy in eV/atom: -0.48

Lattice parameters (Å, degrees): 3.6347 7.9674 10.0443 94.25 90.00 90.00
Atoms (fractional coordinates):
In (0.0000, 0.1868, 0.1579)
In (0.0000, 0.4509, 0.6923)
In (0.0000, 0.5491, 0.3077)
In (0.0000, 0.8132, 0.8421)
In (0.0000, 0.5000, 0.0000)
Pd (0.0000, 0.9308, 0.3630)
Pd (0.0000, 0.0692, 0.6370)
Th (0.5000, 0.1691, 0.8663)
Th (0.5000, 0.7583, 0.5545)
Th (0.5000, 0.2417, 0.4455)
Th (0.5000, 0.8309, 0.1337)

=====

Question: Which of these has the lowest D(E_F)?
Answer: NaTaIrO6

=====

Repeat the second record exactly.
The following is a PBE calculation of crystalline NaTaIrO6 at its relaxed geometry, from Alexandria.

Properties
E_form (uncorrected) in eV/atom: -1.610
Symmetry: No. 163
D(E_F) in states/eV per atom: 0.348
Calculated volume in A^3/atom: 13.9

Lattice parameters (Å, degrees): 5.2752 5.2752 10.3955 90.00 90.00 120.00
Site moments in Bohr magnetons follow the coordinates.
Atoms (fractional coordinates):
O (0.6230, 0.6299, 0.1460)  0.18
O (0.6300, 0.6230, 0.6460)  0.18
O (0.6230, 0.9930, 0.3540)  0.18
O (0.0070, 0.3770, 0.1460)  0.18
O (0.3770, 0.3701, 0.8540)  0.18
O (0.6300, 0.0070, 0.8540)  0.18
O (0.9930, 0.3701, 0.6460)  0.18
O (0.9930, 0.6230, 0.8540)  0.18
O (0.3700, 0.9930, 0.1460)  0.18
O (0.3770, 0.0070, 0.6460)  0.18
O (0.0070, 0.6299, 0.3540)  0.18
O (0.3700, 0.3770, 0.3540)  0.18
Na (0.0000, 0.0000, 0.5000)  0.00
Na (0.0000, 0.0000, 0.0000)  0.00
Ta (0.6667, 0.3333, 0.2500)  0.04
Ta (0.3333, 0.6667, 0.7500)  0.04
Ir (0.6667, 0.3333, 0.7500)  1.48
Ir (0.3333, 0.6667, 0.2500)  1.48